# 1
A geometry-optimized Ca2Ag3Pb2 structure. Source: Alexandria via LeMat-Bulk, functional GGA-PBE.

The structure belongs to space group C2/m (No. 12); the cell edges are 11.1872, 4.7922 and 7.2335 Å and the angles 90.00°, 111.90° and 90.00°. The inequivalent atoms are Ca at (0.1413, 0.0000, 0.2463), Ag at (0.0000, 0.5000, 0.5000), Ag at (0.0959, 0.5000, 0.9229) and Pb at (0.1491, 0.0000, 0.7216).

The density of states at the Fermi level is 1.98 states/eV/f.u. As for the formation energy from the elements: -0.28 eV per atom. As for the total DFT energy (no corrections): -0.230 Ry per atom.

# 2
A geometry-optimized CaAgPb structure. Source: Alexandria via LeMat-Bulk, functional GGA-PBE.

The structure belongs to space group P-6m2 (No. 187); the cell edges are 4.9591, 4.9591 and 3.7300 Å and the angles 90.00°, 90.00° and 120.00°. The inequivalent atoms are Ca at (0.0000, 0.0000, 0.0000), Ag at (0.3333, 0.6667, 0.5000) and Pb at (0.6667, 0.3333, 0.5000).

The density of states at the Fermi level is 1.26 states/eV/f.u. As for the formation energy from the elements: -0.38 eV per atom. As for the total DFT energy (no corrections): -0.237 Ry per atom.

# 3
A geometry-optimized CaAgPb2 structure. Source: Alexandria via LeMat-Bulk, functional GGA-PBE.

The structure belongs to space group Imm2 (No. 44); the cell edges are 4.7285, 4.7341 and 9.6581 Å and the angles 90.00°, 90.00° and 90.00°. The inequivalent atoms are Ca at (0.0000, 0.0000, 0.0000), Ag at (0.0000, 0.5000, 0.2496), Pb at (0.0000, 0.0000, 0.5011) and Pb at (0.0000, 0.5000, 0.7505).

The density of states at the Fermi level is 1.37 states/eV/f.u. As for the formation energy from the elements: -0.23 eV per atom. As for the total DFT energy (no corrections): -0.242 Ry per atom.

# 4
A geometry-optimized CaAg3Pb structure. Source: Alexandria via LeMat-Bulk, functional GGA-PBE.

The structure belongs to space group Pm-3m (No. 221); the cell edges are 5.3150, 5.3150 and 5.3150 Å and the angles 90.00°, 90.00° and 90.00°. The inequivalent atoms are Ca at (0.0000, 0.0000, 0.0000), Ag at (0.0000, 0.5000, 0.5000) and Pb at (0.5000, 0.5000, 0.5000).

The density of states at the Fermi level is 1.98 states/eV/f.u. As for the formation energy from the elements: 0.28 eV per atom. As for the total DFT energy (no corrections): -0.189 Ry per atom.

# 5
A geometry-optimized CaAgPb2 structure. Source: Alexandria via LeMat-Bulk, functional GGA-PBE.

The structure belongs to space group P4/mmm (No. 123); the cell edges are 3.8656, 3.8656 and 7.3577 Å and the angles 90.00°, 90.00° and 90.00°. The inequivalent atoms are Ca at (0.0000, 0.0000, 0.0000), Ag at (0.0000, 0.0000, 0.5000) and Pb at (0.5000, 0.5000, 0.2828).

The density of states at the Fermi level is 1.38 states/eV/f.u. As for the formation energy from the elements: -0.17 eV per atom. As for the total DFT energy (no corrections): -0.238 Ry per atom.

# 6
A geometry-optimized CaAgPb2 structure. Source: Alexandria via LeMat-Bulk, functional GGA-PBE.

The structure belongs to space group Pmm2 (No. 25); the cell edges are 3.9530, 3.9859 and 7.0212 Å and the angles 90.00°, 90.00° and 90.00°. The inequivalent atoms are Ca at (0.0000, 0.0000, 0.0000), Ag at (0.5000, 0.5000, 0.7619), Pb at (0.0000, 0.0000, 0.5366) and Pb at (0.5000, 0.5000, 0.2676).

The density of states at the Fermi level is 2.35 states/eV/f.u. As for the formation energy from the elements: -0.17 eV per atom. As for the total DFT energy (no corrections): -0.238 Ry per atom.

# 7
A geometry-optimized CaAg6Pb structure. Source: Alexandria via LeMat-Bulk, functional GGA-PBE.

The structure belongs to space group Pm-3 (No. 200); the cell edges are 5.5352, 5.5352 and 5.5352 Å and the angles 90.00°, 90.00° and 90.00°. The inequivalent atoms are Ca at (0.0000, 0.0000, 0.0000), Ag at (0.0000, 0.2501, 0.5000) and Pb at (0.5000, 0.5000, 0.5000).

The density of states at the Fermi level is 3.36 states/eV/f.u. As for the formation energy from the elements: 0.00 eV per atom. As for the total DFT energy (no corrections): -0.210 Ry per atom.

# 8
A geometry-optimized CaAgPb2 structure. Source: Alexandria via LeMat-Bulk, functional GGA-PBE.

The structure belongs to space group P2/m (No. 10); the cell edges are 3.6615, 4.8712 and 6.3415 Å and the angles 90.00°, 99.48° and 90.00°. The inequivalent atoms are Ca at (0.0000, 0.0000, 0.0000), Ag at (0.5000, 0.0000, 0.5000) and Pb at (0.3477, 0.5000, 0.7334).

The density of states at the Fermi level is 1.74 states/eV/f.u. As for the formation energy from the elements: -0.20 eV per atom. As for the total DFT energy (no corrections): -0.240 Ry per atom.